(1)
Crystalline LaDy2TmIn4 at its relaxed geometry, computed with PBE.

```
data_LaDy2TmIn4
_chemical_formula_sum 'La3 Dy6 Tm3 In12'
_cell_length_a 5.3663
_cell_length_b 5.3663
_cell_length_c 26.4702
_cell_angle_alpha 90.00
_cell_angle_beta 90.00
_cell_angle_gamma 120.00
_symmetry_space_group_name_H-M 'R -3 m'
_symmetry_Int_Tables_number 166
_symmetry_space_group_name_Hall '-R 3 2"'
loop_
_atom_site_label
_atom_site_type_symbol
_atom_site_fract_x
_atom_site_fract_y
_atom_site_fract_z
La1 La 0.0000 0.0000 0.0000
Dy1 Dy 0.0000 0.0000 0.2492
Tm1 Tm 0.0000 0.0000 0.5000
In1 In 0.0000 0.0000 0.1275
In2 In 0.0000 0.0000 0.3779
```

## Properties
Energy of formation: -44.11 kJ/mol of atoms
DFT total energy: -4.15 eV per atom
DOS at the Fermi energy: 13.093 states/eV per cell



(2)
Crystalline LaDyYIn at its relaxed geometry, computed with PBE.

```
data_LaDyYIn
_chemical_formula_sum 'La4 Dy4 Y4 In4'
_cell_length_a 7.7892
_cell_length_b 7.7892
_cell_length_c 7.7892
_cell_angle_alpha 90.00
_cell_angle_beta 90.00
_cell_angle_gamma 90.00
_symmetry_space_group_name_H-M 'F -4 3 m'
_symmetry_Int_Tables_number 216
_symmetry_space_group_name_Hall 'F -4 2 3'
loop_
_atom_site_label
_atom_site_type_symbol
_atom_site_fract_x
_atom_site_fract_y
_atom_site_fract_z
La1 La 0.0000 0.0000 0.0000
Dy1 Dy 0.2500 0.2500 0.7500
Y1 Y 0.2500 0.2500 0.2500
In1 In 0.0000 0.0000 0.5000
```

## Properties
Energy of formation: -9.66 kJ/mol of atoms
DFT total energy: -4.78 eV per atom
DOS at the Fermi energy: 29.903 states/eV per cell



(3)
Crystalline LaDyYIn at its relaxed geometry, computed with PBE.

```
data_LaDyYIn
_chemical_formula_sum 'La4 Dy4 Y4 In4'
_cell_length_a 7.8561
_cell_length_b 7.8561
_cell_length_c 7.8561
_cell_angle_alpha 90.00
_cell_angle_beta 90.00
_cell_angle_gamma 90.00
_symmetry_space_group_name_H-M 'F -4 3 m'
_symmetry_Int_Tables_number 216
_symmetry_space_group_name_Hall 'F -4 2 3'
loop_
_atom_site_label
_atom_site_type_symbol
_atom_site_fract_x
_atom_site_fract_y
_atom_site_fract_z
La1 La 0.0000 0.0000 0.0000
Dy1 Dy 0.2500 0.2500 0.7500
Y1 Y 0.0000 0.0000 0.5000
In1 In 0.2500 0.2500 0.2500
```

## Properties
Energy of formation: -15.56 kJ/mol of atoms
DFT total energy: -4.84 eV per atom
DOS at the Fermi energy: 21.906 states/eV per cell



(4)
Crystalline LaDyZn2In2 at its relaxed geometry, computed with PBE.

```
data_LaDyZn2In2
_chemical_formula_sum 'La1 Dy1 Zn2 In2'
_cell_length_a 4.7198
_cell_length_b 4.7198
_cell_length_c 7.6124
_cell_angle_alpha 90.00
_cell_angle_beta 90.00
_cell_angle_gamma 120.00
_symmetry_space_group_name_H-M 'P -3 m 1'
_symmetry_Int_Tables_number 164
_symmetry_space_group_name_Hall '-P 3 2"'
loop_
_atom_site_label
_atom_site_type_symbol
_atom_site_fract_x
_atom_site_fract_y
_atom_site_fract_z
La1 La 0.0000 0.0000 0.0000
Dy1 Dy 0.0000 0.0000 0.5000
Zn1 Zn 0.3333 0.6667 0.2910
In1 In 0.3333 0.6667 0.7313
```

## Properties
Energy of formation: -44.32 kJ/mol of atoms
DFT total energy: -3.39 eV per atom
DOS at the Fermi energy: 3.685 states/eV per cell



(5)
Crystalline LiDy5In4 at its relaxed geometry, computed with PBE.

```
data_LiDy5In4
_chemical_formula_sum 'Li1 Dy5 In4'
_cell_length_a 3.6048
_cell_length_b 3.6048
_cell_length_c 20.1575
_cell_angle_alpha 90.00
_cell_angle_beta 90.00
_cell_angle_gamma 90.00
_symmetry_space_group_name_H-M 'P 4/m m m'
_symmetry_Int_Tables_number 123
_symmetry_space_group_name_Hall '-P 4 2'
loop_
_atom_site_label
_atom_site_type_symbol
_atom_site_fract_x
_atom_site_fract_y
_atom_site_fract_z
Li1 Li 0.0000 0.0000 0.0000
Dy1 Dy 0.5000 0.5000 0.0947
Dy2 Dy 0.5000 0.5000 0.2952
Dy3 Dy 0.5000 0.5000 0.5000
In1 In 0.0000 0.0000 0.1920
In2 In 0.0000 0.0000 0.3973
```

## Properties
Energy of formation: -35.19 kJ/mol of atoms
DFT total energy: -3.95 eV per atom
DOS at the Fermi energy: 5.515 states/eV per cell



(6)
Crystalline Li3Dy2In4 at its relaxed geometry, computed with PBE.

```
data_Li3Dy2In4
_chemical_formula_sum 'Li12 Dy8 In16'
_cell_length_a 6.1841
_cell_length_b 16.3942
_cell_length_c 8.0511
_cell_angle_alpha 90.00
_cell_angle_beta 90.00
_cell_angle_gamma 90.00
_symmetry_space_group_name_H-M 'C m c e'
_symmetry_Int_Tables_number 64
_symmetry_space_group_name_Hall '-C 2ac 2'
loop_
_atom_site_label
_atom_site_type_symbol
_atom_site_fract_x
_atom_site_fract_y
_atom_site_fract_z
Li1 Li 0.0000 0.0000 0.0000
Li2 Li 0.2500 0.2341 0.2500
Dy1 Dy 0.0000 0.1046 0.5967
In1 In 0.0000 0.1714 0.9809
In2 In 0.2500 0.0613 0.2500
```

## Properties
Energy of formation: -31.27 kJ/mol of atoms
DFT total energy: -3.20 eV per atom
DOS at the Fermi energy: 25.401 states/eV per cell